Record 1
KPPd2S4: relaxed, PBE-GGA. Values from VASP.

```
&SYSTEM
  ibrav = 0, nat = 8, ntyp = 4
/
ATOMIC_SPECIES
P 30.97 P.upf
Pd 106.42 Pd.upf
S 32.06 S.upf
K 39.10 K.upf
ATOMIC_POSITIONS crystal
P 0.0000 0.5000 0.5000
Pd 0.5000 0.3255 0.6745
Pd 0.5000 0.6745 0.3255
S 0.9993 0.8372 0.5348
S 0.6287 0.5348 0.8372
S 0.0007 0.4652 0.1628
S 0.3713 0.1628 0.4652
K 0.0000 0.0000 0.0000
CELL_PARAMETERS angstrom
-5.9170 2.4949 -0.5974
-4.8319 -3.4275 -1.2671
-3.3991 1.4253 4.8079
```

Properties
Uncorrected formation energy = -3.5 eV per formula unit
Crystal system = orthorhombic

***

Record 2
CaHgPdPb: relaxed, PBE-GGA. Values from VASP.

```
&SYSTEM
  ibrav = 0, nat = 4, ntyp = 4
/
ATOMIC_SPECIES
Pb 207.20 Pb.upf
Ca 40.08 Ca.upf
Hg 200.59 Hg.upf
Pd 106.42 Pd.upf
ATOMIC_POSITIONS crystal
Pb 0.7500 0.7500 0.7500
Ca 0.2500 0.2500 0.2500
Hg 0.5000 0.5000 0.5000
Pd 0.0000 0.0000 0.0000
CELL_PARAMETERS angstrom
-3.9225 -2.8315 1.6389
0.4043 -2.6510 4.3472
-2.6429 1.4423 4.1261
```

Properties
ΔH_f (0 K) = -0.4107 eV per atom
Crystal system = cubic

***

Record 3
Ce2Zn2Si: relaxed, PBE-GGA. Values from VASP.

```
&SYSTEM
  ibrav = 0, nat = 10, ntyp = 3
/
ATOMIC_SPECIES
Zn 65.41 Zn.upf
Ce 140.12 Ce.upf
Si 28.09 Si.upf
ATOMIC_POSITIONS crystal
Zn 0.6085 0.4028 0.3801
Zn 0.4902 0.8844 0.1353
Zn 0.3915 0.5972 0.6199
Zn 0.5098 0.1156 0.8647
Ce 0.1962 0.6648 0.9428
Ce 0.8038 0.3352 0.0572
Ce 0.9119 0.8077 0.3686
Ce 0.0881 0.1923 0.6314
Si 0.7610 0.7744 0.7036
Si 0.2390 0.2256 0.2964
CELL_PARAMETERS angstrom
4.2818 0.0000 0.9478
1.9943 5.2290 1.1364
0.1388 0.3119 9.5188
```

Properties
Uncorrected formation energy = -1.9 eV per formula unit
Crystal system = monoclinic

***

Record 4
Tm8Bi2Pd: relaxed, PBE-GGA. Values from VASP.

```
&SYSTEM
  ibrav = 0, nat = 11, ntyp = 3
/
ATOMIC_SPECIES
Tm 168.93 Tm.upf
Pd 106.42 Pd.upf
Bi 208.98 Bi.upf
ATOMIC_POSITIONS crystal
Tm 0.3517 0.9097 0.7033
Tm 0.7868 0.6354 0.5737
Tm 0.4097 0.4300 0.8194
Tm 0.9730 0.7569 0.9460
Tm 0.5903 0.5700 0.1806
Tm 0.0270 0.2431 0.0540
Tm 0.2132 0.3646 0.4263
Tm 0.6483 0.0903 0.2967
Pd 0.5000 0.0000 0.0000
Bi 0.1710 0.8260 0.3419
Bi 0.8290 0.1740 0.6581
CELL_PARAMETERS angstrom
5.0621 0.0000 0.0000
0.0000 6.6656 1.1724
-2.5310 -1.2917 8.8870
```

Properties
ΔH_f (0 K) = -0.3943 eV per atom
Crystal system = monoclinic

***

Record 5
LaScCu2: relaxed, PBE-GGA. Values from VASP.

```
&SYSTEM
  ibrav = 0, nat = 4, ntyp = 3
/
ATOMIC_SPECIES
Cu 63.55 Cu.upf
Sc 44.96 Sc.upf
La 138.91 La.upf
ATOMIC_POSITIONS crystal
Cu 0.0000 0.0536 0.9485
Cu 0.0000 0.4464 0.5515
Sc 0.5000 0.7500 0.7500
La 0.5000 0.2500 0.2500
CELL_PARAMETERS angstrom
3.3750 0.0000 0.0000
0.0000 3.4156 0.0066
0.0000 3.3841 7.1141
```

Properties
ΔH_f (0 K) = -0.1917 eV per atom
Crystal system = monoclinic

***

Record 6
BaZn9Ni2: relaxed, PBE-GGA. Values from VASP.

```
&SYSTEM
  ibrav = 0, nat = 24, ntyp = 3
/
ATOMIC_SPECIES
Ba 137.33 Ba.upf
Zn 65.41 Zn.upf
Ni 58.69 Ni.upf
ATOMIC_POSITIONS crystal
Ba 0.5000 0.0000 0.0000
Ba 0.2500 0.5000 0.5000
Zn 0.7225 0.5810 0.8284
Zn 0.4491 0.4190 0.8284
Zn 0.0275 0.9190 0.6716
Zn 0.0535 0.9190 0.3284
Zn 0.4491 0.8284 0.4190
Zn 0.0000 0.0000 0.0000
Zn 0.6965 0.5810 0.1716
Zn 0.6965 0.1716 0.5810
Zn 0.7500 0.5000 0.5000
Zn 0.3009 0.0810 0.6716
Zn 0.0275 0.6716 0.9190
Zn 0.6181 0.0810 0.3284
Zn 0.6181 0.3284 0.0810
Zn 0.1319 0.4190 0.1716
Zn 0.3009 0.6716 0.0810
Zn 0.1319 0.1716 0.4190
Zn 0.7225 0.8284 0.5810
Zn 0.0535 0.3284 0.9190
Ni 0.8750 0.2500 0.7500
Ni 0.8750 0.7500 0.2500
Ni 0.8750 0.2500 0.2500
Ni 0.3750 0.7500 0.7500
CELL_PARAMETERS angstrom
6.3438 0.0000 2.9206
3.1719 7.5301 1.4603
0.0229 0.0000 8.3003
```

Properties
ΔH_f (0 K) = -0.2036 eV per atom
Crystal system = tetragonal

***

In μB/cell, the size of the total moment values for the records above are, in order, 0.0 0.0 2.9 0.0 0.0 0.0.